No. 1
{
  "formula": "GeSbPBr2",
  "functional": "PBE-GGA",
  "state": "relaxed",
  "lattice": [[4.961, 0.000, 0.000], [0.000, 4.961, 0.000], [0.000, 0.000, 5.549]],
  "species": ["Ge", "Sb", "P", "Br", "Br"],
  "frac_coords": [[0.000, 0.000, 0.000], [0.500, 0.500, 0.000], [0.500, 0.500, 0.500], [0.000, 0.500, 0.500], [0.500, 0.000, 0.500]],
  "sg": "P4/mmm (123)",
  "formation_energy_uncorrected_ev_per_atom": 0.4245
}

***

No. 2
{
  "formula": "Li2Si2GePd5",
  "functional": "PBE-GGA",
  "state": "relaxed",
  "lattice": [[9.764, 0.000, 0.000], [0.000, 9.764, 0.000], [0.000, 0.000, 3.284]],
  "species": ["Li", "Li", "Li", "Li", "Si", "Si", "Si", "Si", "Ge", "Ge", "Pd", "Pd", "Pd", "Pd", "Pd", "Pd", "Pd", "Pd", "Pd", "Pd"],
  "frac_coords": [[0.171, 0.329, 0.000], [0.329, 0.829, 0.000], [0.671, 0.171, 0.000], [0.829, 0.671, 0.000], [0.130, 0.630, 0.000], [0.370, 0.130, 0.000], [0.630, 0.870, 0.000], [0.870, 0.370, 0.000], [0.000, 0.000, 0.000], [0.500, 0.500, 0.000], [0.000, 0.500, 0.500], [0.068, 0.798, 0.500], [0.202, 0.068, 0.500], [0.298, 0.568, 0.500], [0.432, 0.298, 0.500], [0.500, 0.000, 0.500], [0.568, 0.702, 0.500], [0.702, 0.432, 0.500], [0.798, 0.932, 0.500], [0.932, 0.202, 0.500]],
  "sg": "P4/mbm (127)",
  "formation_energy_uncorrected_ev_per_atom": -0.5527
}

***

No. 3
{
  "formula": "ErHfFe",
  "functional": "PBE-GGA",
  "state": "relaxed",
  "lattice": [[-1.630, 1.630, 5.807], [1.630, -1.630, 5.807], [1.630, 1.630, -5.807]],
  "species": ["Er", "Hf", "Fe"],
  "frac_coords": [[0.000, 0.000, 0.000], [0.732, 0.732, 0.000], [0.342, 0.342, 0.000]],
  "sg": "I4mm (107)",
  "ef_ev_per_atom": -0.011
}

***

No. 4
{
  "formula": "CaAgAs2O6",
  "functional": "PBE-GGA",
  "state": "relaxed",
  "lattice": [[5.321, -4.912, 0.000], [5.321, 4.912, 0.000], [-2.370, 0.000, 5.813]],
  "species": ["Ca", "Ca", "Ag", "Ag", "As", "As", "As", "As", "O", "O", "O", "O", "O", "O", "O", "O", "O", "O", "O", "O"],
  "frac_coords": [[0.107, 0.893, 0.750], [0.893, 0.107, 0.250], [0.266, 0.734, 0.250], [0.734, 0.266, 0.750], [0.229, 0.379, 0.765], [0.379, 0.229, 0.265], [0.621, 0.771, 0.735], [0.771, 0.621, 0.235], [0.057, 0.200, 0.649], [0.131, 0.602, 0.855], [0.200, 0.057, 0.149], [0.331, 0.393, 0.522], [0.393, 0.331, 0.022], [0.398, 0.869, 0.645], [0.602, 0.131, 0.355], [0.607, 0.669, 0.978], [0.669, 0.607, 0.478], [0.800, 0.943, 0.851], [0.869, 0.398, 0.145], [0.943, 0.800, 0.351]],
  "sg": "C2/c (15)",
  "formation_energy_uncorrected_ev_per_atom": -1.4036
}

***

No. 5
{
  "formula": "Er12InNi5",
  "functional": "PBE-GGA",
  "state": "relaxed",
  "lattice": [[-4.640, 4.717, 4.908], [4.640, -4.717, 4.908], [4.640, 4.717, -4.908]],
  "species": ["Er", "Er", "Er", "Er", "Er", "Er", "Er", "Er", "Er", "Er", "Er", "Er", "In", "Ni", "Ni", "Ni", "Ni", "Ni"],
  "frac_coords": [[0.024, 0.215, 0.809], [0.183, 0.292, 0.475], [0.183, 0.708, 0.890], [0.322, 0.018, 0.695], [0.322, 0.627, 0.305], [0.406, 0.215, 0.191], [0.594, 0.785, 0.809], [0.678, 0.373, 0.695], [0.678, 0.982, 0.305], [0.817, 0.292, 0.110], [0.817, 0.708, 0.525], [0.976, 0.785, 0.191], [0.500, 0.500, 0.000], [0.000, 0.000, 0.000], [0.123, 0.623, 0.500], [0.363, 0.000, 0.363], [0.637, 0.000, 0.637], [0.877, 0.377, 0.500]],
  "sg": "Immm (71)",
  "ef_ev_per_atom": -0.365
}

***

No. 6
{
  "formula": "CaLa2Rh9",
  "functional": "PBE-GGA",
  "state": "relaxed",
  "lattice": [[2.667, 1.540, 8.899], [-2.667, 1.540, 8.899], [0.000, -3.080, 8.899]],
  "species": ["Ca", "La", "La", "Rh", "Rh", "Rh", "Rh", "Rh", "Rh", "Rh", "Rh", "Rh"],
  "frac_coords": [[0.000, 0.000, 0.000], [0.137, 0.137, 0.137], [0.863, 0.863, 0.863], [0.082, 0.580, 0.580], [0.332, 0.332, 0.332], [0.420, 0.420, 0.918], [0.420, 0.918, 0.420], [0.500, 0.500, 0.500], [0.580, 0.082, 0.580], [0.580, 0.580, 0.082], [0.668, 0.668, 0.668], [0.918, 0.420, 0.420]],
  "sg": "R-3m (166)",
  "ef_ev_per_atom": -0.434
}

***

No. 7
{
  "formula": "Na2U3S8",
  "functional": "PBE-GGA",
  "state": "relaxed",
  "lattice": [[6.885, -4.024, 0.000], [6.885, 4.024, 0.000], [-2.115, 0.000, 6.535]],
  "species": ["Na", "Na", "U", "U", "U", "S", "S", "S", "S", "S", "S", "S", "S"],
  "frac_coords": [[0.223, 0.223, 0.139], [0.777, 0.777, 0.861], [0.244, 0.756, 0.500], [0.500, 0.500, 0.000], [0.756, 0.244, 0.500], [0.110, 0.110, 0.438], [0.164, 0.619, 0.113], [0.381, 0.836, 0.887], [0.395, 0.395, 0.599], [0.605, 0.605, 0.401], [0.619, 0.164, 0.113], [0.836, 0.381, 0.887], [0.890, 0.890, 0.562]],
  "sg": "C2/m (12)",
  "formation_energy_uncorrected_ev_per_atom": -1.2878
}

***

No. 8
{
  "formula": "Y2MnBr",
  "functional": "PBE-GGA",
  "state": "relaxed",
  "lattice": [[-1.964, 2.965, 4.472], [1.964, -2.965, 4.472], [1.964, 2.965, -4.472]],
  "species": ["Y", "Y", "Mn", "Br"],
  "frac_coords": [[0.247, 0.247, 0.000], [0.753, 0.753, 0.000], [0.500, 0.000, 0.500], [0.000, 0.500, 0.500]],
  "sg": "Immm (71)",
  "e_above_lowest_polymorph_ev_per_atom": 0.354,
  "formation_energy_uncorrected_ev_per_atom": -0.0636
}

***

No. 9
{
  "formula": "Y3Si2Os",
  "functional": "PBE-GGA",
  "state": "relaxed",
  "lattice": [[11.518, 0.000, 0.000], [0.000, 4.172, 0.000], [0.000, 0.000, 11.343]],
  "species": ["Y", "Y", "Y", "Y", "Y", "Y", "Y", "Y", "Y", "Y", "Y", "Y", "Si", "Si", "Si", "Si", "Si", "Si", "Si", "Si", "Os", "Os", "Os", "Os"],
  "frac_coords": [[0.060, 0.250, 0.120], [0.121, 0.750, 0.557], [0.211, 0.250, 0.800], [0.289, 0.750, 0.300], [0.379, 0.250, 0.057], [0.440, 0.750, 0.620], [0.560, 0.250, 0.380], [0.621, 0.750, 0.943], [0.711, 0.250, 0.700], [0.789, 0.750, 0.200], [0.879, 0.250, 0.443], [0.940, 0.750, 0.880], [0.024, 0.750, 0.313], [0.196, 0.750, 0.990], [0.304, 0.250, 0.490], [0.476, 0.250, 0.813], [0.524, 0.750, 0.187], [0.696, 0.750, 0.510], [0.804, 0.250, 0.010], [0.976, 0.250, 0.687], [0.127, 0.250, 0.361], [0.373, 0.750, 0.861], [0.627, 0.250, 0.139], [0.873, 0.750, 0.639]],
  "sg": "Pnma (62)",
  "formation_energy_uncorrected_ev_per_atom": -0.6377
}

***

No. 10
{
  "formula": "TlCuN2",
  "functional": "PBE-GGA",
  "state": "relaxed",
  "lattice": [[0.000, 2.882, 2.882], [2.882, 0.000, 2.882], [2.882, 2.882, 0.000]],
  "species": ["Tl", "Cu", "N", "N"],
  "frac_coords": [[0.000, 0.000, 0.000], [0.500, 0.500, 0.500], [0.250, 0.250, 0.250], [0.750, 0.750, 0.750]],
  "sg": "Fm-3m (225)",
  "e_above_lowest_polymorph_ev_per_atom": 0.749,
  "formation_energy_uncorrected_ev_per_atom": 1.7732
}

***

No. 11
{
  "formula": "Pm2Tm2Ge",
  "functional": "PBE-GGA",
  "state": "relaxed",
  "lattice": [[-2.094, 2.094, 8.803], [2.094, -2.094, 8.803], [2.094, 2.094, -8.803]],
  "species": ["Pm", "Pm", "Tm", "Tm", "Ge"],
  "frac_coords": [[0.085, 0.085, 0.000], [0.915, 0.915, 0.000], [0.250, 0.750, 0.500], [0.750, 0.250, 0.500], [0.500, 0.500, 0.000]],
  "sg": "I4/mmm (139)",
  "ef_ev_per_atom": 0.212
}

***

No. 12
{
  "formula": "TePtC2Cl",
  "functional": "PBE-GGA",
  "state": "relaxed",
  "lattice": [[3.981, 0.000, 0.000], [0.000, 3.981, 0.000], [0.000, 0.000, 6.048]],
  "species": ["Te", "Pt", "C", "C", "Cl"],
  "frac_coords": [[0.000, 0.000, 0.000], [0.000, 0.000, 0.500], [0.000, 0.500, 0.500], [0.500, 0.000, 0.500], [0.500, 0.500, 0.000]],
  "sg": "P4/mmm (123)",
  "formation_energy_uncorrected_ev_per_atom": 1.4729
}

***

No. 13
{
  "formula": "ReSi2H",
  "functional": "PBE-GGA",
  "state": "relaxed",
  "lattice": [[0.000, 2.904, 2.904], [2.904, 0.000, 2.904], [2.904, 2.904, 0.000]],
  "species": ["Re", "Si", "Si", "H"],
  "frac_coords": [[0.000, 0.000, 0.000], [0.250, 0.250, 0.250], [0.750, 0.750, 0.750], [0.500, 0.500, 0.500]],
  "sg": "Fm-3m (225)",
  "e_above_lowest_polymorph_ev_per_atom": 0.012
}

***

No. 14
{
  "formula": "Na3U3NbN8",
  "functional": "PBE-GGA",
  "state": "relaxed",
  "lattice": [[3.404, 1.965, 5.722], [-3.404, 1.965, 5.722], [0.000, -3.931, 5.722]],
  "species": ["Na", "Na", "Na", "U", "U", "U", "Nb", "N", "N", "N", "N", "N", "N", "N", "N"],
  "frac_coords": [[0.000, 0.500, 0.500], [0.500, 0.000, 0.500], [0.500, 0.500, 0.000], [0.000, 0.000, 0.500], [0.000, 0.500, 0.000], [0.500, 0.000, 0.000], [0.500, 0.500, 0.500], [0.230, 0.230, 0.230], [0.232, 0.722, 0.722], [0.278, 0.278, 0.768], [0.278, 0.768, 0.278], [0.722, 0.232, 0.722], [0.722, 0.722, 0.232], [0.768, 0.278, 0.278], [0.770, 0.770, 0.770]],
  "sg": "R-3m (166)",
  "formation_energy_uncorrected_ev_per_atom": -0.9628
}

***

No. 15
{
  "formula": "Li2CaTm2Si2",
  "functional": "PBE-GGA",
  "state": "relaxed",
  "lattice": [[2.252, 1.300, 8.771], [-2.252, 1.300, 8.771], [0.000, -2.601, 8.771]],
  "species": ["Li", "Li", "Ca", "Tm", "Tm", "Si", "Si"],
  "frac_coords": [[0.093, 0.093, 0.093], [0.907, 0.907, 0.907], [0.500, 0.500, 0.500], [0.371, 0.371, 0.371], [0.629, 0.629, 0.629], [0.247, 0.247, 0.247], [0.753, 0.753, 0.753]],
  "sg": "R-3m (166)",
  "formation_energy_uncorrected_ev_per_atom": -0.3716
}

***

No. 16
{
  "formula": "Sm4In2HgAu",
  "functional": "PBE-GGA",
  "state": "relaxed",
  "lattice": [[2.687, 1.551, 8.762], [-2.687, 1.551, 8.762], [0.000, -3.102, 8.762]],
  "species": ["Sm", "Sm", "Sm", "Sm", "In", "In", "Hg", "Au"],
  "frac_coords": [[0.121, 0.121, 0.121], [0.372, 0.372, 0.372], [0.628, 0.628, 0.628], [0.879, 0.879, 0.879], [0.247, 0.247, 0.247], [0.753, 0.753, 0.753], [0.500, 0.500, 0.500], [0.000, 0.000, 0.000]],
  "sg": "R-3m (166)",
  "ef_ev_per_atom": -0.527
}

***

No. 17
{
  "formula": "Ta2Al2N",
  "functional": "PBE-GGA",
  "state": "relaxed",
  "lattice": [[-1.799, 1.799, 7.077], [1.799, -1.799, 7.077], [1.799, 1.799, -7.077]],
  "species": ["Ta", "Ta", "Al", "Al", "N"],
  "frac_coords": [[0.250, 0.750, 0.500], [0.750, 0.250, 0.500], [0.088, 0.088, 0.000], [0.912, 0.912, 0.000], [0.500, 0.500, 0.000]],
  "sg": "I4/mmm (139)",
  "e_above_lowest_polymorph_ev_per_atom": 0.933,
  "formation_energy_uncorrected_ev_per_atom": 1.3271
}

***

No. 18
{
  "formula": "AcGeP2",
  "functional": "PBE-GGA",
  "state": "relaxed",
  "lattice": [[0.000, 3.577, 3.577], [3.577, 0.000, 3.577], [3.577, 3.577, 0.000]],
  "species": ["Ac", "Ge", "P", "P"],
  "frac_coords": [[0.000, 0.000, 0.000], [0.500, 0.500, 0.500], [0.250, 0.250, 0.250], [0.750, 0.750, 0.750]],
  "sg": "Fm-3m (225)",
  "e_above_lowest_polymorph_ev_per_atom": 0.215,
  "ef_ev_per_atom": -0.289
}

***

No. 19
{
  "formula": "AcTbPt2",
  "functional": "PBE-GGA",
  "state": "relaxed",
  "lattice": [[0.000, 3.656, 3.656], [3.656, 0.000, 3.656], [3.656, 3.656, 0.000]],
  "species": ["Ac", "Tb", "Pt", "Pt"],
  "frac_coords": [[0.000, 0.000, 0.000], [0.500, 0.500, 0.500], [0.250, 0.250, 0.250], [0.750, 0.750, 0.750]],
  "sg": "Fm-3m (225)",
  "e_above_lowest_polymorph_ev_per_atom": 0.139,
  "ef_ev_per_atom": -1.028
}

***

No. 20
{
  "formula": "Tl3BiO",
  "functional": "PBE-GGA",
  "state": "relaxed",
  "lattice": [[6.118, 0.000, 0.000], [0.000, 6.118, 0.000], [0.000, 0.000, 6.118]],
  "species": ["Tl", "Tl", "Tl", "Bi", "O"],
  "frac_coords": [[0.000, 0.000, 0.500], [0.000, 0.500, 0.000], [0.500, 0.000, 0.000], [0.000, 0.000, 0.000], [0.500, 0.500, 0.500]],
  "sg": "Pm-3m (221)",
  "e_above_lowest_polymorph_ev_per_atom": 0.863,
  "formation_energy_uncorrected_ev_per_atom": 0.7350
}

***

no.,DOS(E_F) (states/eV per cell),magnetic moment (μB/f.u.)
1,3.12,0.000
2,8.28,0.000
3,2.36,0.972
4,2.76,0.000
5,16.91,0.000
6,14.15,0.000
7,17.21,4.000
8,4.19,2.893
9,20.00,0.000
10,5.34,0.003
11,4.84,0.000
12,3.32,1.381
13,2.19,0.000
14,6.16,2.120
15,2.92,0.000
16,9.44,0.987
17,3.96,0.792
18,3.83,0.000
19,3.82,0.000
20,9.99,0.000